VASP calculation (PBE-GGA) on an optimized crystal structure of HoTmP2.

Results
Formation energy, eV/atom: -1.4447

Cell lengths 3.9290, 3.9290, 20.2469 Å; angles 90.00, 90.00, 120.00 degrees
Closest atoms and distances in Å follow each position.
Space group R3m (No. 160, hexagonal axes)
Unique sites:
1 Ho 0.0000 0.0000 0.0000  6 P 2.82-2.88
2 Tm 0.0000 0.0000 0.1713  6 P 2.78-2.83
3 P 0.0000 0.0000 0.5837  3 Tm 2.78, 3 Ho 2.82
4 P 0.0000 0.0000 0.7541  3 Tm 2.83, 3 Ho 2.88

***

VASP calculation (PBE-GGA) on an optimized crystal structure of Ca2B8O15.

Results
Raw formation energy, meV/atom: -2421

Cell lengths 6.5181, 9.4619, 10.1633 Å; angles 116.34, 91.28, 98.71 degrees
Closest atoms and distances in Å follow each position.
Space group P-1 (No. 2)
Unique sites:
1 Ca 0.0213 0.1895 0.2202  8 O 2.44-2.65
2 Ca 0.3408 0.1793 0.6667  7 O 2.37-2.65
3 B 0.0401 0.1664 0.9226  4 O 1.43-1.47
4 B 0.0830 0.4042 0.6401  3 O 1.36-1.40
5 B 0.2242 0.8229 0.4671  4 O 1.45-1.51
6 B 0.2645 0.5322 0.3369  3 O 1.35-1.41
7 B 0.2672 0.9491 0.2846  4 O 1.45-1.50
8 B 0.3083 0.7476 0.0262  3 O 1.35-1.40
9 B 0.4241 0.6091 0.7692  4 O 1.45-1.50
10 B 0.4284 0.8334 0.6858  3 O 1.36-1.41
11 O 0.0035 0.2423 0.5686  2 B 1.38-1.49
12 O 0.0481 0.9341 0.2319  2 B 1.47-1.48
13 O 0.0488 0.4858 0.3390  2 B 1.40-1.41
14 O 0.1121 0.7584 0.9775  2 B 1.40-1.46
15 O 0.1526 0.0813 0.9772  1 B 1.43
16 O 0.1978 0.2755 0.8967  1 B 1.46
17 O 0.2817 0.8941 0.6302  2 B 1.41-1.50
18 O 0.2870 0.9517 0.4281  2 B 1.45
19 O 0.2887 0.4466 0.6892  2 B 1.36-1.50
20 O 0.3393 0.7191 0.7245  2 B 1.36-1.48
21 O 0.3479 0.6914 0.3911  2 B 1.37-1.51
22 O 0.3612 0.1101 0.2976  2 B 1.37-1.50
23 O 0.3626 0.4054 0.2763  2 B 1.35-1.48
24 O 0.3710 0.8223 0.1767  2 B 1.39-1.49
25 O 0.4345 0.6639 0.9279  2 B 1.35-1.45

***

| no. | total moment (μB per atom) | calculated total energy (eV per atom) | DOS(E_F) (states/eV/f.u.) |
| --- | --- | --- | --- |
| 1 | 0.000 | -6.41 | 0.3 |
| 2 | 0.083 | -7.69 | 0.9 |